# PBE+U AcV2SnO8, optimized geometry
data_AcV2SnO8
_chemical_formula_sum 'Ac1 V2 Sn1 O8'
_cell_length_a 5.9230
_cell_length_b 5.9230
_cell_length_c 6.8319
_cell_angle_alpha 90.00
_cell_angle_beta 90.00
_cell_angle_gamma 120.00
_space_group_name_H-M_alt 'P -3 m 1'
_space_group_IT_number 164
_space_group_name_Hall '-P 3 2"'
loop_
_atom_site_label
_atom_site_type_symbol
_atom_site_fract_x
_atom_site_fract_y
_atom_site_fract_z
_atom_site_occupancy
Ac1 Ac 0.0000 0.0000 0.0000 1
V1 V 0.3333 0.6667 0.3491 1
Sn1 Sn 0.0000 0.0000 0.5000 1
O1 O 0.1654 0.3308 0.2714 1
O2 O 0.3333 0.6667 0.5882 1
# calculated density: 4.6 g/cm3
# VASP energy: -7.25 eV/atom
# D(E_F): 0.423 states/eV per atom